This record from Alexandria describes an optimized crystal structure of Na2Hf2Pb. The functional is PBE-GGA.

Calculated values
N(E_F): 4.34 states/eV/f.u.
energy of formation: 0.8049 eV per atom
calculated volume: 275.77 Å³ per cell

a b c (Å): 9.5012 9.5012 3.0548
angles (deg): 90.00 90.00 90.00
Last column: nearest neighbours and their distance in Å.
Space group P4/mbm (No. 127)
Unique sites:
Na1 0.1880 0.3120 0.0000 [4 per cell]  2 Na 3.05, 6 Hf 3.16-3.28
Hf1 0.1060 0.6060 0.5000 [4 per cell]  3 Hf 2.85-3.05, 2 Na 3.16
Pb1 0.0000 0.0000 0.0000 [2 per cell]  2 Pb 3.05

This record from Alexandria describes an optimized crystal structure of NaHfPb2. The functional is PBE-GGA.

Calculated values
N(E_F): 1.46 states/eV/f.u.
energy of formation: 0.2078 eV per atom
calculated volume: 352.70 Å³ per cell

a b c (Å): 4.5048 4.5048 20.0685
angles (deg): 90.00 90.00 120.00
Last column: nearest neighbours and their distance in Å.
Space group R3m (No. 160, hexagonal axes)
Unique sites:
Na1 0.0000 0.0000 0.0000 [3 per cell]  6 Pb 3.12-3.26
Hf1 0.0000 0.0000 0.8241 [3 per cell]  6 Pb 2.97-3.03
Pb1 0.0000 0.0000 0.2353 [3 per cell]  3 Hf 3.03, 3 Na 3.26
Pb2 0.0000 0.0000 0.4193 [3 per cell]  3 Hf 2.97, 3 Na 3.12

This record from Alexandria describes an optimized crystal structure of NaHfPb2. The functional is PBE-GGA.

Calculated values
N(E_F): 3.29 states/eV/f.u.
energy of formation: 0.4559 eV per atom
calculated volume: 480.63 Å³ per cell

a b c (Å): 4.8821 4.8821 20.1653
angles (deg): 90.00 90.00 90.00
Last column: nearest neighbours and their distance in Å.
Space group I-42d (No. 122)
Unique sites:
Na1 0.0000 0.0000 0.0000 [4 per cell]  4 Pb 3.12, 4 Hf 3.45
Hf1 0.0000 0.0000 0.5000 [4 per cell]  4 Pb 3.00
Pb1 0.2201 0.2500 0.6250 [8 per cell]  2 Hf 3.00, 2 Na 3.12, 2 Pb 3.25

> energy of formation of number 1 (Na2Hf2Pb)?

0.8049 eV per atom

> Look up the energy of formation of the third one.

0.4559 eV per atom

Please write out number 3 again, unchanged.
This record from Alexandria describes an optimized crystal structure of NaHfPb2. The functional is PBE-GGA.

Calculated values
N(E_F): 3.29 states/eV/f.u.
energy of formation: 0.4559 eV per atom
calculated volume: 480.63 Å³ per cell

a b c (Å): 4.8821 4.8821 20.1653
angles (deg): 90.00 90.00 90.00
Last column: nearest neighbours and their distance in Å.
Space group I-42d (No. 122)
Unique sites:
Na1 0.0000 0.0000 0.0000 [4 per cell]  4 Pb 3.12, 4 Hf 3.45
Hf1 0.0000 0.0000 0.5000 [4 per cell]  4 Pb 3.00
Pb1 0.2201 0.2500 0.6250 [8 per cell]  2 Hf 3.00, 2 Na 3.12, 2 Pb 3.25

> Among the records above, which one has the lowest N(E_F)?

number 2